1.
Here is TaNbNi after structural relaxation from the Alexandria database. Energies are from GGA-PBE.

a b c (Å): 2.7626 5.1713 6.9282
angles (deg): 82.71 78.79 81.37
Closest atoms and distances in Å follow each position.
Positions (direct):
Ta 0.0000 0.0000 0.0000  2 Ni 2.58, 4 Ta 2.74-2.76
Ta 0.5000 0.5000 0.0000  2 Ni 2.62, 4 Ta 2.74-2.76, 2 Nb 2.82
Nb 0.1199 0.2189 0.3605  4 Ni 2.62-2.80, 3 Nb 2.76-2.85, 1 Ta 2.82
Nb 0.8801 0.7811 0.6395  4 Ni 2.62-2.80, 3 Nb 2.76-2.85, 1 Ta 2.82
Ni 0.3812 0.2862 0.6921  2 Ta 2.58-2.62, 4 Nb 2.62-2.80, 2 Ni 2.76
Ni 0.6188 0.7138 0.3079  2 Ta 2.58-2.62, 4 Nb 2.62-2.80, 2 Ni 2.76

Values from the calculation:
**Energy above the most stable polymorph in this dataset**: 45 kJ/mol of formula units
**M_tot**: 0.000 μB/atom
**Energy of formation**: -47.9 meV/atom

=====

2.
Here is TaNb2Ni after structural relaxation from the Alexandria database. Energies are from GGA-PBE.

a b c (Å): 6.4191 6.4191 6.4191
angles (deg): 90.00 90.00 90.00
Closest atoms and distances in Å follow each position.
Positions (direct):
Ta 0.0000 0.0000 0.0000  8 Nb 2.78
Ta 0.0000 0.5000 0.5000  8 Nb 2.78
Ta 0.5000 0.0000 0.5000  8 Nb 2.78
Ta 0.5000 0.5000 0.0000  8 Nb 2.78
Nb 0.2500 0.2500 0.2500  4 Ta 2.78, 4 Ni 2.78
Nb 0.2500 0.2500 0.7500  4 Ta 2.78, 4 Ni 2.78
Nb 0.2500 0.7500 0.2500  4 Ta 2.78, 4 Ni 2.78
Nb 0.2500 0.7500 0.7500  4 Ta 2.78, 4 Ni 2.78
Nb 0.7500 0.2500 0.2500  4 Ta 2.78, 4 Ni 2.78
Nb 0.7500 0.2500 0.7500  4 Ta 2.78, 4 Ni 2.78
Nb 0.7500 0.7500 0.2500  4 Ta 2.78, 4 Ni 2.78
Nb 0.7500 0.7500 0.7500  4 Ta 2.78, 4 Ni 2.78
Ni 0.0000 0.0000 0.5000  8 Nb 2.78
Ni 0.0000 0.5000 0.0000  8 Nb 2.78
Ni 0.5000 0.0000 0.0000  8 Nb 2.78
Ni 0.5000 0.5000 0.5000  8 Nb 2.78

Values from the calculation:
**Energy above the most stable polymorph in this dataset**: 28 kJ/mol of formula units
**M_tot**: 0.000 μB/atom
**Energy of formation**: 38.8 meV/atom